a | First-principles (PBE) data for an optimized crystal structure of LiLa2Ru, as listed in the Alexandria database.

## Properties
- DOS at the Fermi energy (states/eV per cell) = 3.0

Unit cell a=3.613 b=3.613 c=7.615 alpha=90.00 beta=90.00 gamma=90.00
Element x y z (fractional)
La1 0.000 0.000 0.927
La2 0.500 0.500 0.341
Li1 0.000 0.000 0.562
Ru1 0.500 0.500 0.670

***

b | First-principles (PBE) data for an optimized crystal structure of LiLa2Ru, as listed in the Alexandria database.

## Properties
- DOS at the Fermi energy (states/eV per cell) = 9.9

Unit cell a=8.068 b=8.068 c=6.614 alpha=52.42 beta=52.42 gamma=90.00
Element x y z (fractional)
Ru1 0.000 0.000 0.000
Ru2 0.750 0.250 0.500
Li1 0.250 0.750 0.500
Li2 0.500 0.500 0.000
La1 0.375 0.324 0.750
La2 0.074 0.625 0.250
La3 0.676 0.125 0.250
La4 0.875 0.926 0.750

***

It is a that is most stable; the runner-up trails by 0.029 eV/atom.

***

a | First-principles (PBE) data for an optimized crystal structure of LiLa2Ru, as listed in the Alexandria database.

## Properties
- DOS at the Fermi energy (states/eV per cell) = 4.5

Unit cell a=5.574 b=5.574 c=5.574 alpha=132.99 beta=132.99 gamma=68.67
Element x y z (fractional)
La1 0.000 0.000 0.000
La2 0.250 0.750 0.500
Ru1 0.750 0.250 0.500
Li1 0.500 0.500 0.000

***

b | First-principles (PBE) data for an optimized crystal structure of LiLa2Ru, as listed in the Alexandria database.

## Properties
- DOS at the Fermi energy (states/eV per cell) = 4.2

Unit cell a=4.581 b=4.011 c=5.838 alpha=69.92 beta=90.00 gamma=90.00
Element x y z (fractional)
La1 0.500 0.258 0.359
La2 0.000 0.990 0.893
Li1 0.000 0.691 0.492
Ru1 0.500 0.561 0.756

***

c | First-principles (PBE) data for an optimized crystal structure of LiLa2Ru, as listed in the Alexandria database.

## Properties
- DOS at the Fermi energy (states/eV per cell) = 2.6

Unit cell a=4.134 b=4.134 c=8.879 alpha=76.54 beta=76.54 gamma=60.00
Element x y z (fractional)
Ru1 0.665 0.665 0.004
Li1 0.502 0.502 0.494
La1 0.059 0.059 0.822
La2 0.274 0.274 0.179

***

It is c that is most stable; the runner-up trails by 0.071 eV/atom.

***

a | First-principles (PBE) data for an optimized crystal structure of SrLiLa2Ru, as listed in the Alexandria database.

## Properties
- DOS at the Fermi energy (states/eV per cell) = 4.4

Unit cell a=5.410 b=5.410 c=6.221 alpha=90.00 beta=90.00 gamma=90.00
Element x y z (fractional)
Ru1 0.000 0.000 0.000
La1 0.000 0.500 0.000
La2 0.500 0.000 0.000
Li1 0.500 0.500 0.500
Sr1 0.000 0.000 0.500

***

b | First-principles (PBE) data for an optimized crystal structure of SrLiLa2Ru, as listed in the Alexandria database.

## Properties
- DOS at the Fermi energy (states/eV per cell) = 4.6

Unit cell a=5.386 b=5.386 c=5.828 alpha=90.00 beta=90.00 gamma=90.00
Element x y z (fractional)
La1 0.500 0.000 0.000
La2 0.000 0.500 0.000
Sr1 0.500 0.500 0.500
Ru1 0.000 0.000 0.000
Li1 0.000 0.000 0.500

***

It is a that is most stable; the runner-up trails by 0.027 eV/atom.

***

a | First-principles (PBE) data for an optimized crystal structure of LiLa2ZnRu, as listed in the Alexandria database.

## Properties
- DOS at the Fermi energy (states/eV per cell) = 5.2

Unit cell a=5.389 b=5.389 c=5.060 alpha=90.00 beta=90.00 gamma=90.00
Element x y z (fractional)
Li1 0.500 0.500 0.500
La1 0.500 0.000 0.000
La2 0.000 0.500 0.000
Ru1 0.000 0.000 0.000
Zn1 0.000 0.000 0.500

***

b | First-principles (PBE) data for an optimized crystal structure of LiLa2ZnRu, as listed in the Alexandria database.

## Properties
- DOS at the Fermi energy (states/eV per cell) = 3.8

Unit cell a=5.310 b=5.310 c=4.958 alpha=90.00 beta=90.00 gamma=90.00
Element x y z (fractional)
La1 0.500 0.000 0.000
La2 0.000 0.500 0.000
Zn1 0.500 0.500 0.500
Li1 0.000 0.000 0.500
Ru1 0.000 0.000 0.000

***

It is a that is most stable; the runner-up trails by 0.062 eV/atom.